(1)
Compound: MgCd2BiP
Source: the Alexandria database
Functional: PBE
Structure: relaxed

a b c (Å): 5.772 5.772 5.390
angles (deg): 90.00 90.00 90.00
Sites, in units of the cell vectors:
Mg  0.000  0.000  0.000
Cd  0.000  0.500  0.500
Cd  0.500  0.000  0.500
Bi  0.500  0.500  0.500
P  0.500  0.500  0.000

Summary:
- DFT formation energy: 698.7 meV/atom

=====

(2)
Compound: ZrHgPb2
Source: the Alexandria database
Functional: PBE
Structure: relaxed

a b c (Å): 3.272 3.272 9.938
angles (deg): 90.00 90.00 90.00
Sites, in units of the cell vectors:
Zr  0.000  0.000  0.000
Hg  0.500  0.500  0.203
Pb  0.000  0.000  0.448
Pb  0.500  0.500  0.764

Summary:
- DFT formation energy: -20.7 meV/atom

=====

(3)
Compound: InCuAs2
Source: the Alexandria database
Functional: PBE
Structure: relaxed

a b c (Å): 9.134 9.134 9.134
angles (deg): 20.07 20.07 20.07
Sites, in units of the cell vectors:
In  0.000  0.000  0.000
Cu  0.746  0.746  0.746
As  0.243  0.243  0.243
As  0.476  0.476  0.476

Summary:
- DFT formation energy: 298.2 meV/atom

=====

(4)
Compound: Ta2TeRh
Source: the Alexandria database
Functional: PBE
Structure: relaxed

a b c (Å): 3.347 3.347 6.784
angles (deg): 90.00 90.00 90.00
Sites, in units of the cell vectors:
Ta  0.000  0.000  0.000
Ta  0.500  0.500  0.262
Te  0.000  0.000  0.511
Rh  0.500  0.500  0.821

Summary:
- E_form (uncorrected): -0.14 eV per atom